1.
Density functional theory data (GGA-PBE) for a geometry-optimized PmHo4P5 structure.

Properties
Calculated total energy: -6.609 eV per atom
Total magnetization: 0.0 Bohr magnetons per cell
SG: No. 87

Geometry as POSCAR:
```
PmHo4P5
1.0
1.7090 -2.0865 5.0038
2.8687 -6.3279 -0.3897
6.5678 1.5991 1.6524
P Ho Pm
5 4 1
direct
0.8995 0.4059 0.7971
0.6966 0.2029 0.4059
0.3054 0.7971 0.5941
0.5011 0.0000 0.0000
0.1025 0.5941 0.2029
0.2008 0.1990 0.4015
0.8013 0.8010 0.5985
0.3998 0.4015 0.8010
0.6023 0.5985 0.1990
0.0010 0.0000 0.0000
```

=====

2.
Density functional theory data (GGA-PBE) for a geometry-optimized YCo2RuC structure.

Properties
Calculated total energy: -7.990 eV per atom
Total magnetization: 0.9 Bohr magnetons per cell
SG: No. 123

Geometry as POSCAR:
```
YCo2RuC
1.0
-2.1860 0.1175 3.3048
-1.5082 -3.5611 -0.8711
3.0575 -1.8053 2.0866
Co Ru C Y
2 1 1 1
direct
0.5000 0.0000 0.0000
0.0000 0.5000 0.0000
0.0000 0.0000 0.5000
0.0000 0.0000 0.0000
0.5000 0.5000 0.5000
```

=====

3.
Density functional theory data (GGA-PBE) for a geometry-optimized Cs2InS structure.

Properties
ΔE to the lowest computed polymorph: 58.2 meV/atom
Calculated total energy: -2.448 eV per atom
Total magnetization: 0.0 Bohr magnetons per cell
SG: No. 1

Geometry as POSCAR:
```
Cs2InS
1.0
4.6467 0.0033 -0.0116
2.3259 4.0507 -0.0084
0.0657 0.0123 10.5167
Cs S In
2 1 1
direct
0.2960 0.6961 0.1319
0.2995 0.6969 0.7671
0.6298 0.0316 0.9495
0.6273 0.0378 0.4501
```

=====

4.
Density functional theory data (GGA-PBE) for a geometry-optimized TiSbSeF2 structure.

Properties
Calculated total energy: -5.631 eV per atom
Total magnetization: 1.0 Bohr magnetons per cell
SG: No. 123

Geometry as POSCAR:
```
TiSbSeF2
1.0
-3.2869 -1.1457 1.9402
3.1444 -4.1367 2.8840
0.7945 2.6217 2.8942
Ti Sb F Se
1 1 2 1
direct
0.0000 0.0000 0.0000
0.0000 0.5000 0.0000
0.5000 0.0000 0.0000
0.0000 0.0000 0.5000
0.5000 0.5000 0.5000
```